First-principles (PBE) data for a relaxed structure of ZrTc2Au, as listed in the Alexandria database.

Cell and atoms, written as POSCAR:
```
ZrTc2Au
1.0
-1.214 -1.029 2.248
2.320 -1.342 0.638
2.802 7.115 4.771
Au Tc Zr
1 2 1
direct
0.500 0.500 0.750 Au
0.000 0.000 0.991 Tc
0.000 0.000 0.509 Tc
0.500 0.500 0.250 Zr
```

DFT total energy	-31.39	eV per cell
distance to the lowest polymorph of the same formula	0.3859	eV per atom

=====

First-principles (PBE) data for a relaxed structure of Zr2TcAu, as listed in the Alexandria database.

Cell and atoms, written as POSCAR:
```
Zr2TcAu
1.0
-3.245 -3.057 0.600
1.033 -0.468 3.199
-2.721 3.483 3.034
Au Tc Zr
1 1 2
direct
0.000 0.702 0.456 Au
0.500 0.542 0.813 Tc
0.000 0.990 0.912 Zr
0.500 0.266 0.319 Zr
```

DFT total energy	-32.06	eV per cell

=====

First-principles (PBE) data for a relaxed structure of ZrTcAu, as listed in the Alexandria database.

Cell and atoms, written as POSCAR:
```
ZrTcAu
1.0
4.478 0.000 0.000
2.239 3.878 0.000
2.239 1.293 3.656
Au Tc Zr
1 1 1
direct
0.000 0.000 0.000 Au
0.500 0.500 0.500 Tc
0.750 0.750 0.750 Zr
```

DFT total energy	-20.56	eV per cell
distance to the lowest polymorph of the same formula	0.6440	eV per atom

=====

First-principles (PBE) data for a relaxed structure of Zr2TcAu, as listed in the Alexandria database.

Cell and atoms, written as POSCAR:
```
Zr2TcAu
1.0
-0.717 -2.751 -3.136
-2.596 -2.196 2.520
-8.850 2.704 -3.205
Au Tc Zr
2 2 4
direct
0.000 0.000 0.000 Au
0.750 0.250 0.500 Au
0.500 0.500 0.000 Tc
0.250 0.750 0.500 Tc
0.614 0.125 0.250 Zr
0.136 0.625 0.250 Zr
0.375 0.386 0.750 Zr
0.875 0.864 0.750 Zr
```

DFT total energy	-58.34	eV per cell